Crystalline Pm3ThBi4 at its relaxed geometry. Source: Alexandria via LeMat-Bulk, functional PBE-GGA.

Lattice parameters (Å, degrees): 4.591 7.933 7.933 109.47 90.00 90.00
Positions (direct):
Pm (0.000, 0.000, 0.500)
Pm (0.500, 0.500, 0.500)
Pm (0.000, 0.500, 0.000)
Th (0.500, 0.000, 0.000)
Bi (0.000, 0.251, 0.251)
Bi (0.500, 0.750, 0.250)
Bi (0.000, 0.749, 0.749)
Bi (0.500, 0.250, 0.750)

Properties
calculated volume = 34.05 Å³/atom
space-group type = Cmmm
offset from the most stable computed form = 0 meV/atom
ΔH_f (0 K) = -0.8645 eV per atom
magnetic moment = 0.00 μB/cell

---

Crystalline SrMg9Ag2 at its relaxed geometry. Source: Alexandria via LeMat-Bulk, functional PBE-GGA.

Lattice parameters (Å, degrees): 7.772 9.398 9.398 80.16 65.58 65.58
Positions (direct):
Sr (0.500, 0.000, 0.000)
Sr (0.250, 0.500, 0.500)
Mg (0.750, 0.500, 0.500)
Mg (0.000, 0.000, 0.000)
Mg (0.014, 0.921, 0.675)
Mg (0.611, 0.079, 0.325)
Mg (0.686, 0.175, 0.579)
Mg (0.440, 0.825, 0.421)
Mg (0.736, 0.825, 0.579)
Mg (0.139, 0.175, 0.421)
Mg (0.064, 0.921, 0.325)
Mg (0.310, 0.079, 0.675)
Mg (0.736, 0.579, 0.825)
Mg (0.139, 0.421, 0.175)
Mg (0.064, 0.325, 0.921)
Mg (0.310, 0.675, 0.079)
Mg (0.014, 0.675, 0.921)
Mg (0.611, 0.325, 0.079)
Mg (0.686, 0.579, 0.175)
Mg (0.440, 0.421, 0.825)
Ag (0.875, 0.250, 0.750)
Ag (0.875, 0.750, 0.250)
Ag (0.875, 0.250, 0.250)
Ag (0.375, 0.750, 0.750)

Properties
calculated volume = 23.71 Å³/atom
space-group type = I4_1/amd
offset from the most stable computed form = 0 meV/atom
ΔH_f (0 K) = -0.1396 eV per atom
magnetic moment = 0.00 μB/cell

---

Crystalline Cs2TiF7 at its relaxed geometry. Source: Alexandria via LeMat-Bulk, functional PBE-GGA.

Lattice parameters (Å, degrees): 6.264 9.160 8.050 80.45 67.11 70.01
Last column: magnetic moment on the atom in μB.
Positions (direct):
Cs (0.636, 0.936, 0.738)  0.00
Cs (0.690, 0.436, 0.238)  0.00
Cs (0.310, 0.564, 0.762)  0.00
Cs (0.364, 0.064, 0.262)  0.00
Ti (0.992, 0.250, 0.750)  -0.03
Ti (0.008, 0.750, 0.250)  -0.03
F (0.845, 0.459, 0.819)  0.00
F (0.877, 0.959, 0.319)  0.00
F (0.219, 0.814, 0.010)  0.24
F (0.295, 0.285, 0.588)  0.11
F (0.674, 0.250, 0.750)  0.28
F (0.957, 0.314, 0.510)  0.24
F (0.169, 0.215, 0.912)  0.11
F (0.831, 0.785, 0.088)  0.11
F (0.043, 0.686, 0.490)  0.24
F (0.326, 0.750, 0.250)  0.28
F (0.705, 0.715, 0.412)  0.11
F (0.781, 0.186, 0.990)  0.24
F (0.123, 0.041, 0.681)  0.00
F (0.155, 0.541, 0.181)  0.00

Properties
calculated volume = 19.98 Å³/atom
space-group type = C2/c
total energy = -5.151 eV per atom
magnetic moment = 2.05 μB/cell